# 1
Below is an optimized crystal structure of LaAlIr2, with properties calculated at the PBEsol level.

Results
For the formation energy, the calculation gives -375 meV per atom. Its symmetry is No. 6.

Unit cell a=3.1220 b=4.3166 c=5.6692 alpha=90.00 beta=105.16 gamma=90.00
Fractional coordinates of all 4 atoms:
Ir 0.9341 0.5000 0.2539
Ir 0.7949 0.0000 0.9373
Al 0.2501 0.5000 0.8657
La 0.5210 0.0000 0.4430

# 2
Below is an optimized crystal structure of FeCoMo2, with properties calculated at the PBEsol level.

Results
For the formation energy, the calculation gives 70 meV per atom. Its symmetry is No. 47. The value obtained for the polymorph energy (0 for the lowest one) is 8.6 meV per atom.

Unit cell a=2.6246 b=3.6315 c=5.2574 alpha=90.00 beta=90.00 gamma=90.00
Fractional coordinates of all 4 atoms:
Fe 0.5000 0.5000 0.5000
Co 0.5000 0.5000 0.0000
Mo 0.0000 0.0000 0.7479
Mo 0.0000 0.0000 0.2521

# 3
Below is an optimized crystal structure of CaHgSb, with properties calculated at the PBEsol level.

Results
The value obtained for the formation energy (no corrections) is -48 kJ per mole of atoms. Its symmetry is No. 216. The value obtained for the polymorph energy (0 for the lowest one) is 82.9 meV per atom.

Unit cell a=4.9477 b=4.9477 c=4.9477 alpha=60.00 beta=60.00 gamma=60.00
Fractional coordinates of all 3 atoms:
Sb 0.0000 0.0000 0.0000
Ca 0.5000 0.5000 0.5000
Hg 0.2500 0.2500 0.2500

# 4
Below is an optimized crystal structure of AgTeRh2, with properties calculated at the PBEsol level.

Results
The value obtained for the formation energy (no corrections) is 17 kJ per mole of atoms. Its symmetry is No. 99.

Unit cell a=3.5111 b=3.5111 c=5.4727 alpha=90.00 beta=90.00 gamma=90.00
Fractional coordinates of all 4 atoms:
Rh 0.0000 0.0000 0.9886
Rh 0.5000 0.5000 0.2720
Ag 0.5000 0.5000 0.7834
Te 0.0000 0.0000 0.4560

# 5
Below is an optimized crystal structure of KTcCl2, with properties calculated at the PBEsol level.

Results
The value obtained for the formation energy (no corrections) is -17 kJ per mole of atoms. Its symmetry is No. 44. The value obtained for the polymorph energy (0 for the lowest one) is 199.5 meV per atom.

Unit cell a=3.5657 b=3.6589 c=7.4658 alpha=104.18 beta=103.82 gamma=90.00
Fractional coordinates of all 4 atoms:
Tc 0.2011 0.7011 0.4022
Cl 0.7778 0.2778 0.5556
Cl 0.0661 0.0661 0.1321
K 0.4550 0.4550 0.9100

# 6
Below is an optimized crystal structure of LiTiNb2Ir, with properties calculated at the PBEsol level.

Results
For the formation energy, the calculation gives 900 meV per atom. Its symmetry is No. 123.

Unit cell a=4.0815 b=4.3362 c=4.3362 alpha=90.00 beta=90.00 gamma=90.00
Fractional coordinates of all 5 atoms:
Ti 0.5000 0.0000 0.0000
Nb 0.0000 0.0000 0.5000
Nb 0.0000 0.5000 0.0000
Ir 0.5000 0.5000 0.5000
Li 0.0000 0.0000 0.0000

# 7
Below is an optimized crystal structure of CaRe3Sn, with properties calculated at the PBEsol level.

Results
For the formation energy, the calculation gives 3106 meV per atom. Its symmetry is No. 221.

Unit cell a=4.5956 b=4.5956 c=4.5956 alpha=90.00 beta=90.00 gamma=90.00
Fractional coordinates of all 5 atoms:
Re 0.0000 0.5000 0.0000
Re 0.0000 0.0000 0.5000
Re 0.5000 0.0000 0.0000
Ca 0.0000 0.0000 0.0000
Sn 0.5000 0.5000 0.5000

# 8
Below is an optimized crystal structure of MgH2Pd, with properties calculated at the PBEsol level.

Results
Its symmetry is No. 122. The calculation puts the total DFT energy (no corrections) at -15.452 eV per formula unit.

Unit cell a=4.2833 b=4.2833 c=5.3592 alpha=113.55 beta=113.55 gamma=90.00
Fractional coordinates of all 8 atoms:
Mg 0.7500 0.2500 0.5000
Mg 0.5000 0.5000 0.0000
Pd 0.2500 0.7500 0.5000
Pd 0.0000 0.0000 0.0000
H 0.1250 0.0855 0.7500
H 0.3355 0.8750 0.2500
H 0.6250 0.6645 0.7500
H 0.9145 0.3750 0.2500

# 9
Below is an optimized crystal structure of CdSi2Au, with properties calculated at the PBEsol level.

Results
The value obtained for the formation energy (no corrections) is 26 kJ per mole of atoms. Its symmetry is No. 122.

Unit cell a=5.3592 b=5.9084 c=5.9084 alpha=78.13 beta=63.03 gamma=63.03
Fractional coordinates of all 8 atoms:
Cd 0.5000 0.0000 0.0000
Cd 0.2500 0.5000 0.5000
Si 0.6602 0.9648 0.4648
Si 0.0898 0.0352 0.5352
Si 0.3750 0.5352 0.9648
Si 0.8750 0.4648 0.0352
Au 0.0000 0.0000 0.0000
Au 0.7500 0.5000 0.5000

# 10
Below is an optimized crystal structure of YSc3, with properties calculated at the PBEsol level.

Results
For the formation energy, the calculation gives 20 meV per atom. Its symmetry is No. 59. The value obtained for the polymorph energy (0 for the lowest one) is 1.4 meV per atom.

Unit cell a=5.1927 b=5.8059 c=6.7119 alpha=90.00 beta=90.00 gamma=90.00
Fractional coordinates of all 8 atoms:
Sc 0.0000 0.1625 0.2483
Sc 0.5000 0.3222 0.0000
Sc 0.5000 0.8375 0.7483
Sc 0.0000 0.1625 0.7517
Sc 0.5000 0.8375 0.2517
Sc 0.0000 0.6778 0.5000
Y 0.0000 0.6634 0.0000
Y 0.5000 0.3366 0.5000

# 11
Below is an optimized crystal structure of LiMo2P3O11, with properties calculated at the PBEsol level.

Results
The value obtained for the formation energy (no corrections) is -188 kJ per mole of atoms. Its symmetry is No. 5.

Unit cell a=7.3127 b=7.3127 c=8.9419 alpha=69.58 beta=69.58 gamma=74.26
Fractional coordinates of all 34 atoms:
O 0.7165 0.3954 0.1923
O 0.6196 0.7589 0.0487
O 0.9552 0.2578 0.5043
O 0.4948 0.5052 0.0000
O 0.7698 0.6178 0.5302
O 0.8506 0.5290 0.8781
O 0.7422 0.0448 0.4957
O 0.2529 0.9550 0.0078
O 0.5046 0.4954 0.5000
O 0.1517 0.4714 0.6272
O 0.4084 0.7284 0.6857
O 0.2411 0.3804 0.9513
O 0.1111 0.0123 0.3422
O 0.6046 0.2835 0.8077
O 0.2716 0.5916 0.3143
O 0.8819 0.9832 0.1580
O 0.9877 0.8889 0.6578
O 0.4710 0.1494 0.1219
O 0.0168 0.1181 0.8420
O 0.0450 0.7471 0.9922
O 0.5286 0.8483 0.3728
O 0.3822 0.2302 0.4698
P 0.0430 0.9570 0.0000
P 0.3226 0.4456 0.4708
P 0.9556 0.0444 0.5000
P 0.4499 0.3240 0.9644
P 0.5544 0.6774 0.5292
P 0.6760 0.5501 0.0356
Li 0.4732 0.0153 0.6808
Li 0.9847 0.5268 0.3192
Mo 0.1198 0.6381 0.7969
Mo 0.6355 0.1176 0.2941
Mo 0.3619 0.8802 0.2031
Mo 0.8824 0.3645 0.7059

# 12
Below is an optimized crystal structure of KTeP, with properties calculated at the PBEsol level.

Results
The value obtained for the formation energy (no corrections) is 28 kJ per mole of atoms. Its symmetry is No. 107. The value obtained for the polymorph energy (0 for the lowest one) is 321.6 meV per atom.

Unit cell a=2.9962 b=2.9962 c=8.9355 alpha=99.65 beta=99.65 gamma=90.00
Fractional coordinates of all 3 atoms:
K 0.9928 0.9928 0.9855
P 0.3508 0.3508 0.7016
Te 0.6565 0.6565 0.3129

# 13
Below is an optimized crystal structure of BaYHO2, with properties calculated at the PBEsol level.

Results
Its symmetry is No. 123. The calculation puts the total DFT energy (no corrections) at -34.678 eV per formula unit.

Unit cell a=4.1592 b=4.3995 c=4.3995 alpha=90.00 beta=90.00 gamma=90.00
Fractional coordinates of all 5 atoms:
O 0.0000 0.0000 0.5000
O 0.0000 0.5000 0.0000
Y 0.0000 0.0000 0.0000
Ba 0.5000 0.5000 0.5000
H 0.5000 0.0000 0.0000